A geometry-optimized Pm2NdErMg structure, computed with PBE.

a b c (Å): 5.675 6.223 9.529
angles (deg): 70.46 90.00 90.00
Fractional coordinates of all 10 atoms:
1 Er 0.750 0.163 0.997
2 Pm 0.750 0.984 0.392
3 Pm 0.250 0.254 0.199
4 Nd 0.250 0.646 0.389
5 Pm 0.750 0.746 0.801
6 Mg 0.750 0.583 0.191
7 Pm 0.250 0.016 0.608
8 Er 0.250 0.837 0.003
9 Mg 0.250 0.417 0.809
10 Nd 0.750 0.354 0.611

Properties
Energy of formation, meV per atom: 18
DOS(E_F), states/eV/f.u.: 6.7
Space-group type: P2_1/m, No. 11
Total magnetic moment, μB/f.u.: 0.00
V, Å³/atom: 31.7